Record 1
Here is MnCuNF2 after structural relaxation from the Alexandria database. Energies are from PBE+U.

a = 4.0308 Å, b = 4.0308 Å, c = 3.8569 Å
α = 90.00°, β = 90.00°, γ = 90.00°
With the nearest neighbours (Å) after each atom.
Space group P4/mmm (No. 123)
Symmetry-distinct sites (fractional):
1 Mn 0.0000 0.0000 0.0000 (multiplicity 1)  2 N 1.93, 4 F 2.02
2 Cu 0.5000 0.5000 0.5000 (multiplicity 1)  8 F 2.79, 4 N 2.85
3 N 0.0000 0.0000 0.5000 (multiplicity 1)  2 Mn 1.93
4 F 0.0000 0.5000 0.0000 (multiplicity 2)  2 Mn 2.02

Values from the calculation:
- Final energy: -26.29 eV/cell
- Relative energy among the computed polymorphs: 0.000 eV/f.u.

Record 2
Here is Mn3O2F4 after structural relaxation from the Alexandria database. Energies are from PBE+U.

a = 9.1370 Å, b = 7.1946 Å, c = 7.1288 Å
α = 90.00°, β = 109.88°, γ = 90.00°
With the nearest neighbours (Å) after each atom.
Space group C2/m (No. 12)
Symmetry-distinct sites (fractional):
1 Mn 0.0000 0.0000 0.0000 (multiplicity 2)  6 F 2.06-2.12
2 Mn 0.0000 0.0000 0.5000 (multiplicity 2)  4 F 2.10-2.22, 2 O 2.15
3 Mn 0.1489 0.5000 0.1708 (multiplicity 4)  3 O 1.93-1.99, 1 F 2.02
4 Mn 0.1670 0.5000 0.6632 (multiplicity 4)  2 O 1.89-1.97, 4 F 2.07-2.09
5 O 0.0717 0.5000 0.8735 (multiplicity 4)  3 Mn 1.93-1.99
6 O 0.2437 0.0000 0.5408 (multiplicity 4)  2 Mn 1.89-1.95
7 F 0.0000 0.3080 0.5000 (multiplicity 4)  3 Mn 2.09-2.22
8 F 0.1255 0.0000 0.8082 (multiplicity 4)  3 Mn 2.02-2.10
9 F 0.1673 0.1902 0.1781 (multiplicity 8)  3 Mn 2.07-2.23

Values from the calculation:
- Final energy: -238.03 eV/cell
- Relative energy among the computed polymorphs: 0.106 eV/f.u.